Record 1
Entry from OQMD via LeMat-Bulk: a relaxed TmNpOs crystal (GGA-PBE).

Lattice parameters (Å, degrees): 4.701 4.701 4.701 60.00 60.00 60.00
Fractional coordinates of all 3 atoms:
Os (0.000, 0.000, 0.000)
Np (0.250, 0.250, 0.250)
Tm (0.750, 0.750, 0.750)

Results
Energy above the most stable polymorph in this dataset   0 meV per atom
Energy of formation   0.115 eV/atom
Total magnetization   3.8 μB per cell

Record 2
Entry from OQMD via LeMat-Bulk: a relaxed NpUOs crystal (GGA-PBE).

Lattice parameters (Å, degrees): 4.431 4.431 4.431 60.00 60.00 60.00
Fractional coordinates of all 3 atoms:
U (0.000, 0.000, 0.000)
Np (0.250, 0.250, 0.250)
Os (0.750, 0.750, 0.750)

Results
Energy above the most stable polymorph in this dataset   0 meV per atom
Energy of formation   0.187 eV/atom
Total magnetization   3.0 μB per cell

Record 3
Entry from OQMD via LeMat-Bulk: a relaxed NpZnOs crystal (GGA-PBE).

Lattice parameters (Å, degrees): 4.429 4.429 4.429 60.00 60.00 60.00
Fractional coordinates of all 3 atoms:
Np (0.250, 0.250, 0.250)
Zn (0.750, 0.750, 0.750)
Os (0.000, 0.000, 0.000)

Results
Energy of formation   0.325 eV/atom
Total magnetization   3.2 μB per cell

Record 4
Entry from OQMD via LeMat-Bulk: a relaxed ZrNpOs crystal (GGA-PBE).

Lattice parameters (Å, degrees): 4.628 4.628 4.628 60.00 60.00 60.00
Fractional coordinates of all 3 atoms:
Os (0.000, 0.000, 0.000)
Zr (0.750, 0.750, 0.750)
Np (0.250, 0.250, 0.250)

Results
Energy of formation   0.126 eV/atom
Total magnetization   4.4 μB per cell

Record 5
Entry from OQMD via LeMat-Bulk: a relaxed NpP crystal (GGA-PBE).

Lattice parameters (Å, degrees): 4.387 4.387 4.387 60.00 60.00 60.00
Last column: magnetic moment on the atom in μB.
Fractional coordinates of all 2 atoms:
Np (0.000, 0.000, 0.000)  3.79
P (0.250, 0.250, 0.250)  -0.12

Results
Total DFT energy (no corrections)   -18.54 eV for the cell shown
Total magnetization   4.0 μB per cell

Record 6
Entry from OQMD via LeMat-Bulk: a relaxed NpP crystal (GGA-PBE).

Lattice parameters (Å, degrees): 3.758 3.758 3.615 90.00 90.00 120.00
Last column: magnetic moment on the atom in μB.
Fractional coordinates of all 2 atoms:
P (0.333, 0.667, 0.250)  -0.15
Np (0.667, 0.333, 0.750)  3.75

Results
Total DFT energy (no corrections)   -19.56 eV for the cell shown
Total magnetization   4.0 μB per cell

Question: The lowest total magnetization belongs to which entry?
Answer: NpUOs